(1)
Computed, not measured: a geometry-optimized YBiN2O structure at the PBE level of DFT.

Cell lengths 4.260, 4.260, 4.212 Å; angles 90.00, 90.00, 90.00 degrees
Space group P4/mmm (No. 123)
One atom of each set of equivalent atoms:
Y: 0.000 0.000 0.000 [1 per cell]
Bi: 0.500 0.500 0.500 [1 per cell]
N: 0.000 0.500 0.500 [2 per cell]
O: 0.500 0.500 0.000 [1 per cell]

Calculated volume (Å³/cell): 76.4
E_tot (Ry per atom): -0.474
Total moment (μB per formula unit): 0.09

***

(2)
Computed, not measured: a geometry-optimized PrYCoI structure at the PBE level of DFT.

Cell lengths 4.0176, 4.0176, 24.1849 Å; angles 90.00, 90.00, 120.00 degrees
Space group R3m (No. 160, hexagonal axes)
One atom of each set of equivalent atoms:
Pr: 0.0000 0.0000 0.0000 [3 per cell]
Y: 0.0000 0.0000 0.7873 [3 per cell]
Co: 0.0000 0.0000 0.3950 [3 per cell]
I: 0.0000 0.0000 0.2220 [3 per cell]

Calculated volume (Å³/cell): 338.1
E_tot (Ry per atom): -0.406
Total moment (μB per formula unit): 0.00

***

(3)
Computed, not measured: a geometry-optimized VPS4 structure at the PBE level of DFT.

Cell lengths 3.275, 5.913, 7.155 Å; angles 113.20, 103.13, 90.00 degrees
Space group P-1 (No. 2)
One atom of each set of equivalent atoms:
V: 0.000 0.000 0.000 [1 per cell]
P: 0.500 0.500 0.000 [1 per cell]
S: 0.102 0.771 0.206 [2 per cell]
S: 0.397 0.718 0.792 [2 per cell]

Calculated volume (Å³/cell): 123.4
E_tot (Ry per atom): -0.413
Total moment (μB per formula unit): 0.00

***

(4)
Computed, not measured: a geometry-optimized Ac3ZnC2N6 structure at the PBE level of DFT.

Cell lengths 5.5149, 5.5149, 6.8609 Å; angles 90.00, 90.00, 120.00 degrees
Space group P-3m1 (No. 164)
One atom of each set of equivalent atoms:
Ac: 0.0000 0.0000 0.0000 [1 per cell]
Ac: 0.3333 0.6667 0.6653 [2 per cell]
Zn: 0.0000 0.0000 0.5000 [1 per cell]
C: 0.3333 0.6667 0.2696 [2 per cell]
N: 0.1882 0.3764 0.2759 [6 per cell]

Calculated volume (Å³/cell): 180.7
E_tot (Ry per atom): -0.543
Total moment (μB per formula unit): 0.00

***

(5)
Computed, not measured: a geometry-optimized NaCd2GaF8 structure at the PBE level of DFT.

Cell lengths 5.017, 6.913, 5.038 Å; angles 90.00, 90.20, 90.00 degrees
Space group P2/m (No. 10)
One atom of each set of equivalent atoms:
Na: 0.000 0.000 0.000 [1 per cell]
Cd: 0.500 0.251 0.500 [2 per cell]
Ga: 0.000 0.500 0.000 [1 per cell]
F: 0.183 0.297 0.818 [4 per cell]
F: 0.280 0.500 0.280 [2 per cell]
F: 0.307 0.000 0.308 [2 per cell]

Calculated volume (Å³/cell): 174.7
E_tot (Ry per atom): -0.310
Total moment (μB per formula unit): 0.00

***

(6)
Computed, not measured: a geometry-optimized Pr3SnPd5 structure at the PBE level of DFT.

Cell lengths 8.364, 8.364, 11.996 Å; angles 90.00, 90.00, 90.00 degrees
Space group I4/mcm (No. 140)
One atom of each set of equivalent atoms:
Pr: 0.000 0.000 0.250 [4 per cell]
Pr: 0.131 0.369 0.000 [8 per cell]
Sn: 0.000 0.500 0.250 [4 per cell]
Pd: 0.000 0.000 0.000 [4 per cell]
Pd: 0.194 0.306 0.354 [16 per cell]

Formation enthalpy at 0 K (eV/f.u.): -4.7
Calculated volume (Å³/cell): 839.2
Total moment (μB per formula unit): 0.00

***

(7)
Computed, not measured: a geometry-optimized LiHgSb2 structure at the PBE level of DFT.

Cell lengths 3.5052, 3.5052, 27.6048 Å; angles 90.00, 90.00, 120.00 degrees
Space group R-3m (No. 166, hexagonal axes)
One atom of each set of equivalent atoms:
Li: 0.0000 0.0000 0.0000 [3 per cell]
Hg: 0.0000 0.0000 0.5000 [3 per cell]
Sb: 0.0000 0.0000 0.2535 [6 per cell]

Calculated volume (Å³/cell): 293.7
E_tot (Ry per atom): -0.194
Total moment (μB per formula unit): 0.00

***

(8)
Computed, not measured: a geometry-optimized Np3Tl3CdSe8 structure at the PBE level of DFT.

Cell lengths 14.473, 8.267, 9.183 Å; angles 90.00, 121.85, 90.00 degrees
Space group C2/m (No. 12)
One atom of each set of equivalent atoms:
Np: 0.000 0.000 0.000 [2 per cell]
Np: 0.250 0.250 0.000 [4 per cell]
Tl: 0.000 0.500 0.500 [2 per cell]
Tl: 0.250 0.250 0.500 [4 per cell]
Cd: 0.000 0.500 0.000 [2 per cell]
Se: 0.017 0.247 0.798 [8 per cell]
Se: 0.235 0.000 0.206 [4 per cell]
Se: 0.241 0.500 0.203 [4 per cell]

Calculated volume (Å³/cell): 933.3
E_tot (Ry per atom): -0.425
Total moment (μB per formula unit): 3.39

***

(9)
Computed, not measured: a geometry-optimized CaPa2IrN5 structure at the PBE level of DFT.

Cell lengths 6.574, 6.574, 11.870 Å; angles 90.00, 90.00, 90.00 degrees
Space group I4/mcm (No. 140)
One atom of each set of equivalent atoms:
Ca: 0.000 0.000 0.250 [4 per cell]
Pa: 0.182 0.318 0.000 [8 per cell]
Ir: 0.000 0.500 0.250 [4 per cell]
N: 0.000 0.000 0.000 [4 per cell]
N: 0.136 0.364 0.377 [16 per cell]

Calculated volume (Å³/cell): 512.9
E_tot (Ry per atom): -0.656
Total moment (μB per formula unit): 0.00

***

(10)
Computed, not measured: a geometry-optimized HfIBr2 structure at the PBE level of DFT.

Cell lengths 3.4428, 3.4428, 36.3148 Å; angles 90.00, 90.00, 120.00 degrees
Space group R-3m (No. 166, hexagonal axes)
One atom of each set of equivalent atoms:
Hf: 0.0000 0.0000 0.0000 [3 per cell]
I: 0.0000 0.0000 0.5000 [3 per cell]
Br: 0.0000 0.0000 0.3858 [6 per cell]

Calculated volume (Å³/cell): 372.8
E_tot (Ry per atom): -0.325
Total moment (μB per formula unit): 0.00

***

(11)
Computed, not measured: a geometry-optimized NdEr2Al structure at the PBE level of DFT.

Cell lengths 3.519, 3.519, 9.040 Å; angles 90.00, 90.00, 90.00 degrees
Space group P4/mmm (No. 123)
One atom of each set of equivalent atoms:
Nd: 0.000 0.000 0.000 [1 per cell]
Er: 0.500 0.500 0.291 [2 per cell]
Al: 0.000 0.000 0.500 [1 per cell]

Formation enthalpy at 0 K (eV/f.u.): -0.8
Calculated volume (Å³/cell): 112.0
Total moment (μB per formula unit): 0.00

***

(12)
Computed, not measured: a geometry-optimized RbLiCuBr4 structure at the PBE level of DFT.

Cell lengths 6.554, 7.639, 9.444 Å; angles 90.00, 105.58, 90.00 degrees
Space group P2_1/m (No. 11)
One atom of each set of equivalent atoms:
Rb: 0.245 0.250 0.090 [2 per cell]
Li: 0.324 0.250 0.677 [2 per cell]
Cu: 0.176 0.750 0.319 [2 per cell]
Br: 0.075 0.014 0.730 [4 per cell]
Br: 0.341 0.750 0.105 [2 per cell]
Br: 0.482 0.750 0.521 [2 per cell]

Calculated volume (Å³/cell): 455.5
E_tot (Ry per atom): -0.219
Total moment (μB per formula unit): 1.04

***

Question: Look up the total moment of the eleventh one.
Answer: 0.00 μB per formula unit

***

Question: What is the calculated volume in the fourth record?
Answer: 180.7 Å³/cell